#a
RbRhN2: single point on PBEsol structure, SCAN.

Lattice parameters (Å, degrees): 4.132 4.132 4.132 60.00 60.00 60.00
Atoms (fractional coordinates):
N  0.750  0.750  0.750
N  0.250  0.250  0.250
Rb  0.000  0.000  0.000
Rh  0.500  0.500  0.500

## Properties
The density of states at the Fermi level is 2.0 states/eV/cell. Its crystal system is cubic. The space group is Fm-3m (225).

***

#b
RbRhN2: single point on PBEsol structure, SCAN.

Lattice parameters (Å, degrees): 5.679 5.679 5.679 95.48 116.89 116.89
Atoms (fractional coordinates):
N  0.858  0.983  0.625
N  0.642  0.875  0.017
N  0.358  0.375  0.233
N  0.142  0.767  0.125
Rh  0.500  0.750  0.250
Rh  0.000  0.000  0.000
Rb  0.000  0.500  0.500
Rb  0.500  0.250  0.750

## Properties
The density of states at the Fermi level is 4.2 states/eV/cell. Its crystal system is tetragonal. The space group is I-42d (122).

***

Quick one: least stable of them? #a

***

#a
RbSeSN2: single point on PBEsol structure, SCAN.

Lattice parameters (Å, degrees): 4.912 4.912 6.514 90.00 90.00 90.00
Atoms (fractional coordinates):
N  0.000  0.500  0.000
N  0.500  0.000  0.000
Se  0.000  0.000  0.500
S  0.500  0.500  0.500
Rb  0.000  0.000  0.000

## Properties
The density of states at the Fermi level is 3.5 states/eV/cell. Its crystal system is tetragonal. The space group is P4/mmm (123).

***

#b
RbSeSN2: single point on PBEsol structure, SCAN.

Lattice parameters (Å, degrees): 4.253 4.253 4.896 90.00 90.00 90.00
Atoms (fractional coordinates):
N  0.500  0.000  0.000
N  0.000  0.500  0.000
Rb  0.500  0.500  0.500
S  0.000  0.000  0.500
Se  0.000  0.000  0.000

## Properties
The density of states at the Fermi level is 1.3 states/eV/cell. Its crystal system is tetragonal. The space group is P4/mmm (123).

***

Quick one: least stable of them? #a

***

#a
RbScTeN2: single point on PBEsol structure, SCAN.

Lattice parameters (Å, degrees): 4.727 4.727 6.553 90.00 90.00 90.00
Atoms (fractional coordinates):
N  0.000  0.500  0.000
N  0.500  0.000  0.000
Te  0.000  0.000  0.500
Sc  0.500  0.500  0.500
Rb  0.000  0.000  0.000

## Properties
The density of states at the Fermi level is 2.0 states/eV/cell. Its crystal system is tetragonal. The space group is P4/mmm (123).

***

#b
RbScTeN2: single point on PBEsol structure, SCAN.

Lattice parameters (Å, degrees): 4.544 4.544 5.588 90.00 90.00 90.00
Atoms (fractional coordinates):
Sc  0.000  0.000  0.000
N  0.000  0.500  0.000
N  0.500  0.000  0.000
Rb  0.500  0.500  0.500
Te  0.000  0.000  0.500

## Properties
The density of states at the Fermi level is 1.4 states/eV/cell. Its crystal system is tetragonal. The space group is P4/mmm (123).

***

Quick one: least stable of them? #a

***

#a
TaRhS2N: single point on PBEsol structure, SCAN.

Lattice parameters (Å, degrees): 3.547 4.699 4.699 90.00 90.00 90.00
Atoms (fractional coordinates):
Ta  0.500  0.500  0.500
S  0.000  0.000  0.500
S  0.000  0.500  0.000
N  0.500  0.000  0.000
Rh  0.000  0.000  0.000

## Properties
The density of states at the Fermi level is 2.0 states/eV/cell. Its crystal system is tetragonal. The space group is P4/mmm (123).

***

#b
TaRhS2N: single point on PBEsol structure, SCAN.

Lattice parameters (Å, degrees): 3.807 4.787 4.787 90.00 90.00 90.00
Atoms (fractional coordinates):
S  0.000  0.000  0.500
S  0.000  0.500  0.000
Ta  0.000  0.000  0.000
Rh  0.500  0.500  0.500
N  0.500  0.000  0.000

## Properties
The density of states at the Fermi level is 2.4 states/eV/cell. Its crystal system is tetragonal. The space group is P4/mmm (123).

***

Quick one: least stable of them? #a